Crystalline Nd2Y2CICl4 at its relaxed geometry, computed with PBE-GGA.

Structure (extended XYZ):
```
10
Lattice="8.703 -1.933 0.000 8.703 1.933 0.000 -2.129 0.000 8.230" Properties=species:S:1:pos:R:3 pbc="T T T"
Nd 2.402 0.000 0.658
Nd 12.874 0.000 7.572
Y 8.280 0.000 1.579
Y 6.997 0.000 6.652
C 0.000 0.000 0.000
I -1.065 0.000 4.115
Cl 5.463 0.000 1.301
Cl 4.478 0.000 5.549
Cl 10.799 0.000 2.682
Cl 9.814 0.000 6.930
```

Computed properties:
energy above the most stable polymorph in this dataset = 0.0095 eV/atom

Crystalline MgNbSiNi at its relaxed geometry, computed with PBE-GGA.

Structure (extended XYZ):
```
4
Lattice="0.000 3.069 3.069 3.069 0.000 3.069 3.069 3.069 0.000" Properties=species:S:1:pos:R:3 pbc="T T T"
Mg 0.000 0.000 0.000
Nb 1.534 1.534 1.534
Si 3.069 3.069 3.069
Ni 4.603 4.603 4.603
```

Computed properties:
energy above the most stable polymorph in this dataset = 0.0000 eV/atom

Crystalline BeSnOs2 at its relaxed geometry, computed with PBE-GGA.

Structure (extended XYZ):
```
4
Lattice="0.000 3.100 3.100 3.100 0.000 3.100 3.100 3.100 0.000" Properties=species:S:1:pos:R:3 pbc="T T T"
Be 0.000 0.000 0.000
Sn 4.650 4.650 4.650
Os 1.550 1.550 1.550
Os 3.100 3.100 3.100
```

Computed properties:
E_tot = -6.928 eV per atom

Crystalline PmGdNO at its relaxed geometry, computed with PBE-GGA.

Structure (extended XYZ):
```
8
Lattice="4.997 0.000 0.000 0.000 4.040 0.000 0.000 0.000 7.080" Properties=species:S:1:pos:R:3 pbc="T T T"
Pm 1.249 0.000 1.163
Pm 3.748 0.000 5.918
Gd 1.249 2.020 4.712
Gd 3.748 2.020 2.368
N 1.249 2.020 2.413
N 3.748 2.020 4.668
O 1.249 0.000 5.793
O 3.748 0.000 1.287
```

Computed properties:
energy above the most stable polymorph in this dataset = 0.0000 eV/atom

Ρ for the records above, in order: 4.48 5.86 14.17 7.72 g/cm³